1.
Compound: W2Br
Source: Alexandria
Functional: PBE
Structure: relaxed

Properties
- Formation energy from raw total energies: 1136 meV/atom
- Calculated volume: 20.49 Å³/atom

Unit cell a=5.9260 b=5.9260 c=5.9260 alpha=130.23 beta=127.33 gamma=75.39
Closest atoms and distances in Å follow each position.
Sites, in units of the cell vectors:
W  0.3071  0.0571  0.2500  1 W 2.42
W  0.4347  0.6847  0.7500  1 W 2.42, 2 Br 2.69
W  0.5653  0.3153  0.2500  1 W 2.42, 2 Br 2.69
W  0.6929  0.9429  0.7500  1 W 2.42
Br  0.1284  0.3784  0.7500  5 W 2.69-3.00
Br  0.8716  0.6216  0.2500  5 W 2.69-3.00


2.
Compound: W2Br
Source: Alexandria
Functional: PBE
Structure: relaxed

Properties
- Formation energy from raw total energies: 1696 meV/atom
- Calculated volume: 17.15 Å³/atom

Unit cell a=4.6906 b=4.6906 c=5.4004 alpha=90.00 beta=90.00 gamma=120.00
Closest atoms and distances in Å follow each position.
Sites, in units of the cell vectors:
W  0.0000  0.0000  0.0000  2 W 2.70
W  0.0000  0.0000  0.5000  2 W 2.70
W  0.3333  0.6667  0.2500  5 Br 2.70-2.71
W  0.6667  0.3333  0.7500  5 Br 2.70-2.71
Br  0.3333  0.6667  0.7500  5 W 2.70-2.71
Br  0.6667  0.3333  0.2500  5 W 2.70-2.71


3.
Compound: W2Br
Source: Alexandria
Functional: PBE
Structure: relaxed

Properties
- Formation energy from raw total energies: 987 meV/atom
- Calculated volume: 18.34 Å³/atom

Unit cell a=5.8061 b=5.8061 c=7.3701 alpha=117.61 beta=117.61 gamma=30.33
Closest atoms and distances in Å follow each position.
Sites, in units of the cell vectors:
W  0.0000  0.0000  0.0000  4 Br 2.55-2.63, 2 W 2.75
W  0.0430  0.0430  0.6409  7 W 2.71-3.04, 2 Br 2.74
W  0.4373  0.4373  0.2541  1 Br 2.63, 6 W 2.75-2.93
W  0.7159  0.7159  0.9666  1 Br 2.60, 4 W 2.71-2.81
Br  0.3580  0.3580  0.6933  4 W 2.55-2.74
Br  0.6834  0.6834  0.2926  4 W 2.60-2.63


4.
Compound: WBr5
Source: Alexandria
Functional: PBE
Structure: relaxed

Properties
- Formation energy from raw total energies: -43 meV/atom
- Calculated volume: 35.25 Å³/atom

Unit cell a=7.8854 b=7.8854 c=11.4061 alpha=128.56 beta=128.56 gamma=22.73
Closest atoms and distances in Å follow each position.
Sites, in units of the cell vectors:
W  0.0000  0.0000  0.0000  8 Br 2.68
Br  0.0000  0.0000  0.5000  2 Br 3.11
Br  0.3175  0.3175  0.8246  2 W 2.68
Br  0.4832  0.4832  0.1759  2 W 2.68
Br  0.5168  0.5168  0.8241  2 W 2.68
Br  0.6825  0.6825  0.1754  2 W 2.68


5.
Compound: WBr5
Source: Alexandria
Functional: PBE
Structure: relaxed

Properties
- Formation energy from raw total energies: 422 meV/atom
- Calculated volume: 27.63 Å³/atom

Unit cell a=3.0901 b=3.0901 c=17.3621 alpha=90.00 beta=90.00 gamma=90.00
Closest atoms and distances in Å follow each position.
Sites, in units of the cell vectors:
W  0.0000  0.0000  0.0000  8 Br 2.72
Br  0.0000  0.0000  0.2671  4 Br 3.09
Br  0.0000  0.0000  0.7329  4 Br 3.09
Br  0.5000  0.5000  0.0929  4 W 2.72
Br  0.5000  0.5000  0.5000  4 Br 3.09
Br  0.5000  0.5000  0.9071  4 W 2.72


6.
Compound: WBr5
Source: Alexandria
Functional: PBE
Structure: relaxed

Properties
- Formation energy from raw total energies: -438 meV/atom
- Calculated volume: 36.54 Å³/atom

Unit cell a=7.4741 b=7.5315 c=9.4046 alpha=69.86 beta=87.61 gamma=62.96
Closest atoms and distances in Å follow each position.
Sites, in units of the cell vectors:
W  0.1200  0.4308  0.2166  6 Br 2.43-2.69
W  0.8800  0.5692  0.7834  6 Br 2.43-2.69
Br  0.0099  0.7391  0.9378  2 W 2.68-2.69
Br  0.2023  0.1234  0.4514  1 W 2.43
Br  0.2237  0.6313  0.3178  1 W 2.43
Br  0.2333  0.3847  0.7423  1 W 2.45
Br  0.4500  0.2572  0.1327  1 W 2.46
Br  0.5500  0.7428  0.8673  1 W 2.46
Br  0.7667  0.6153  0.2577  1 W 2.45
Br  0.7763  0.3687  0.6822  1 W 2.43
Br  0.7977  0.8766  0.5486  1 W 2.43
Br  0.9901  0.2609  0.0622  2 W 2.68-2.69


7.
Compound: W2Br
Source: Alexandria
Functional: PBE
Structure: relaxed

Properties
- Formation energy from raw total energies: 1299 meV/atom
- Calculated volume: 17.12 Å³/atom

Unit cell a=10.4532 b=10.4532 c=10.4532 alpha=154.89 beta=154.89 gamma=35.81
Closest atoms and distances in Å follow each position.
Sites, in units of the cell vectors:
W  0.1232  0.3732  0.7500  4 Br 2.67-2.71, 4 W 2.84-2.88
W  0.2879  0.5379  0.7500  6 W 2.73-2.88, 2 Br 2.90
W  0.3732  0.1232  0.2500  4 Br 2.67-2.71, 4 W 2.84-2.88
W  0.4621  0.7121  0.7500  6 W 2.73-2.88, 2 Br 2.90
W  0.5379  0.2879  0.2500  6 W 2.73-2.88, 2 Br 2.90
W  0.6268  0.8768  0.7500  4 Br 2.67-2.71, 4 W 2.84-2.88
W  0.7121  0.4621  0.2500  6 W 2.73-2.88, 2 Br 2.90
W  0.8768  0.6268  0.2500  4 Br 2.67-2.71, 4 W 2.84-2.88
Br  0.0528  0.8028  0.2500  6 W 2.67-2.90, 1 Br 2.87
Br  0.1972  0.9472  0.2500  6 W 2.67-2.90, 1 Br 2.87
Br  0.8028  0.0528  0.7500  6 W 2.67-2.90, 1 Br 2.87
Br  0.9472  0.1972  0.7500  6 W 2.67-2.90, 1 Br 2.87


8.
Compound: WBr5
Source: Alexandria
Functional: PBE
Structure: relaxed

Properties
- Formation energy from raw total energies: 876 meV/atom
- Calculated volume: 34.94 Å³/atom

Unit cell a=5.4141 b=5.4141 c=8.2575 alpha=90.00 beta=90.00 gamma=120.00
Closest atoms and distances in Å follow each position.
Sites, in units of the cell vectors:
W  0.0000  0.0000  0.0000  6 Br 3.13
Br  0.0000  0.5000  0.5000  4 Br 2.71
Br  0.3333  0.6667  0.0000  3 W 3.13, 3 Br 3.13
Br  0.5000  0.0000  0.5000  4 Br 2.71
Br  0.5000  0.5000  0.5000  4 Br 2.71
Br  0.6667  0.3333  0.0000  3 W 3.13, 3 Br 3.13


9.
Compound: WBr5
Source: Alexandria
Functional: PBE
Structure: relaxed

Properties
- Formation energy from raw total energies: 358 meV/atom
- Calculated volume: 31.97 Å³/atom

Unit cell a=7.4005 b=7.0251 c=7.0251 alpha=31.68 beta=90.00 gamma=90.00
Closest atoms and distances in Å follow each position.
Sites, in units of the cell vectors:
W  0.0000  0.0000  0.0000  4 Br 2.57
Br  0.0000  0.3732  0.3732  2 W 2.57
Br  0.0000  0.6268  0.6268  2 W 2.57
Br  0.5000  0.1643  0.1643  4 Br 2.94-2.97
Br  0.5000  0.4968  0.4968  4 Br 2.97
Br  0.5000  0.8295  0.8295  4 Br 2.94-2.97


10.
Compound: W2Br
Source: Alexandria
Functional: PBE
Structure: relaxed

Properties
- Formation energy from raw total energies: 2258 meV/atom
- Calculated volume: 18.54 Å³/atom

Unit cell a=4.4171 b=4.4171 c=2.8502 alpha=90.00 beta=90.00 gamma=90.00
Closest atoms and distances in Å follow each position.
Sites, in units of the cell vectors:
W  0.0000  0.5000  0.0000  4 Br 2.63, 2 W 2.85
W  0.5000  0.0000  0.0000  4 Br 2.63, 2 W 2.85
Br  0.0000  0.0000  0.5000  8 W 2.63, 2 Br 2.85


11.
Compound: W2Br
Source: Alexandria
Functional: PBE
Structure: relaxed

Properties
- Formation energy from raw total energies: 1231 meV/atom
- Calculated volume: 17.11 Å³/atom

Unit cell a=4.7758 b=4.7758 c=4.7758 alpha=143.54 beta=126.49 gamma=66.48
Closest atoms and distances in Å follow each position.
Sites, in units of the cell vectors:
W  0.1698  0.1698  0.0000  5 Br 2.64-2.95, 5 W 2.71-2.91
W  0.8302  0.8302  0.0000  5 Br 2.64-2.95, 5 W 2.71-2.91
Br  0.5000  0.5000  0.0000  10 W 2.64-2.95


12.
Compound: W3Br8
Source: Alexandria
Functional: PBE
Structure: relaxed

Properties
- Formation energy from raw total energies: -396 meV/atom
- Calculated volume: 32.56 Å³/atom

Unit cell a=9.9260 b=9.9260 c=14.7810 alpha=90.00 beta=90.00 gamma=100.37
Closest atoms and distances in Å follow each position.
Sites, in units of the cell vectors:
W  0.0309  0.1764  0.9520  5 Br 2.54-2.67, 4 W 2.63-2.72
W  0.0689  0.9311  0.8869  5 Br 2.59-2.61, 4 W 2.71-2.72
W  0.1764  0.0309  0.0480  5 Br 2.54-2.67, 4 W 2.63-2.72
W  0.3236  0.4691  0.5480  5 Br 2.54-2.67, 4 W 2.63-2.72
W  0.4311  0.5689  0.3869  5 Br 2.59-2.61, 4 W 2.71-2.72
W  0.4691  0.3236  0.4520  5 Br 2.54-2.67, 4 W 2.63-2.72
W  0.5309  0.6764  0.5480  5 Br 2.54-2.67, 4 W 2.63-2.72
W  0.5689  0.4311  0.6131  5 Br 2.59-2.61, 4 W 2.71-2.72
W  0.6764  0.5309  0.4520  5 Br 2.54-2.67, 4 W 2.63-2.72
W  0.8236  0.9691  0.9520  5 Br 2.54-2.67, 4 W 2.63-2.72
W  0.9311  0.0689  0.1131  5 Br 2.59-2.61, 4 W 2.71-2.72
W  0.9691  0.8236  0.0480  5 Br 2.54-2.67, 4 W 2.63-2.72
Br  0.0427  0.9573  0.5689  1 Br 2.42
Br  0.0756  0.4159  0.8849  1 W 2.54
Br  0.0772  0.9228  0.2047  3 W 2.61-2.67
Br  0.0841  0.4244  0.6151  1 W 2.54
Br  0.1364  0.2738  0.1096  3 W 2.61-2.67
Br  0.1590  0.8410  0.7384  1 W 2.59
Br  0.2118  0.7882  0.9844  3 W 2.61-2.67
Br  0.2262  0.3636  0.3904  3 W 2.61-2.67
Br  0.2738  0.1364  0.8904  3 W 2.61-2.67
Br  0.2882  0.7118  0.4844  3 W 2.61-2.67
Br  0.3410  0.6590  0.2384  1 W 2.59
Br  0.3636  0.2262  0.6096  3 W 2.61-2.67
Br  0.4159  0.0756  0.1151  1 W 2.54
Br  0.4228  0.5772  0.7047  3 W 2.61-2.67
Br  0.4244  0.0841  0.3849  1 W 2.54
Br  0.4573  0.5427  0.0689  1 Br 2.42
Br  0.5427  0.4573  0.9311  1 Br 2.42
Br  0.5756  0.9159  0.6151  1 W 2.54
Br  0.5772  0.4228  0.2953  3 W 2.61-2.67
Br  0.5841  0.9244  0.8849  1 W 2.54
Br  0.6364  0.7738  0.3904  3 W 2.61-2.67
Br  0.6590  0.3410  0.7616  1 W 2.59
Br  0.7118  0.2882  0.5156  3 W 2.61-2.67
Br  0.7262  0.8636  0.1096  3 W 2.61-2.67
Br  0.7738  0.6364  0.6096  3 W 2.61-2.67
Br  0.7882  0.2118  0.0156  3 W 2.61-2.67
Br  0.8410  0.1590  0.2616  1 W 2.59
Br  0.8636  0.7262  0.8904  3 W 2.61-2.67
Br  0.9159  0.5756  0.3849  1 W 2.54
Br  0.9228  0.0772  0.7953  3 W 2.61-2.67
Br  0.9244  0.5841  0.1151  1 W 2.54
Br  0.9573  0.0427  0.4311  1 Br 2.42


13.
Compound: W2Br
Source: Alexandria
Functional: PBE
Structure: relaxed

Properties
- Formation energy from raw total energies: 687 meV/atom
- Calculated volume: 20.60 Å³/atom

Unit cell a=6.6169 b=6.6169 c=6.1692 alpha=100.58 beta=100.58 gamma=27.77
Closest atoms and distances in Å follow each position.
Sites, in units of the cell vectors:
W  0.1721  0.1721  0.3484  3 W 2.50-2.76, 2 Br 2.71
W  0.2105  0.2105  0.8045  3 W 2.50-2.76
W  0.7895  0.7895  0.1955  3 W 2.50-2.76
W  0.8279  0.8279  0.6516  3 W 2.50-2.76, 2 Br 2.71
Br  0.4985  0.4985  0.2476  2 W 2.71
Br  0.5015  0.5015  0.7524  2 W 2.71


14.
Compound: W2Br
Source: Alexandria
Functional: PBE
Structure: relaxed

Properties
- Formation energy from raw total energies: 1207 meV/atom
- Calculated volume: 19.78 Å³/atom

Unit cell a=12.4210 b=12.4210 c=12.4210 alpha=165.59 beta=165.59 gamma=20.43
Closest atoms and distances in Å follow each position.
Sites, in units of the cell vectors:
W  0.2879  0.5379  0.7500  2 W 2.42
W  0.4621  0.7121  0.7500  2 W 2.42
W  0.5379  0.2879  0.2500  2 W 2.42
W  0.7121  0.4621  0.2500  2 W 2.42
Br  0.1250  0.8750  0.2500  8 W 3.06, 4 Br 3.12
Br  0.8750  0.1250  0.7500  8 W 3.06, 4 Br 3.12


15.
Compound: WBr5
Source: Alexandria
Functional: PBE
Structure: relaxed

Properties
- Formation energy from raw total energies: -437 meV/atom
- Calculated volume: 35.51 Å³/atom

Unit cell a=14.1104 b=14.1104 c=6.4344 alpha=90.17 beta=90.17 gamma=86.13
Closest atoms and distances in Å follow each position.
Sites, in units of the cell vectors:
W  0.1069  0.8931  0.0000  6 Br 2.43-2.68
W  0.2265  0.4400  0.5172  6 Br 2.43-2.68
W  0.4400  0.2265  0.5172  6 Br 2.43-2.68
W  0.5600  0.7735  0.4828  6 Br 2.43-2.68
W  0.7735  0.5600  0.4828  6 Br 2.43-2.68
W  0.8931  0.1069  0.0000  6 Br 2.43-2.68
Br  0.0014  0.1933  0.7836  1 W 2.46
Br  0.0476  0.0476  0.2200  2 W 2.68
Br  0.0928  0.4707  0.7504  1 W 2.43
Br  0.1373  0.7603  0.7630  1 W 2.43
Br  0.1402  0.3321  0.2969  1 W 2.46
Br  0.1933  0.0014  0.7836  1 W 2.46
Br  0.1964  0.5729  0.2813  1 W 2.43
Br  0.2397  0.8627  0.2370  1 W 2.43
Br  0.2854  0.2854  0.7357  2 W 2.68
Br  0.3321  0.1402  0.2969  1 W 2.46
Br  0.3340  0.5269  0.7369  1 W 2.46
Br  0.3813  0.3813  0.2996  2 W 2.68
Br  0.4271  0.8036  0.7187  1 W 2.43
Br  0.4707  0.0928  0.7504  1 W 2.43
Br  0.4731  0.6660  0.2631  1 W 2.46
Br  0.5269  0.3340  0.7369  1 W 2.46
Br  0.5293  0.9072  0.2496  1 W 2.43
Br  0.5729  0.1964  0.2813  1 W 2.43
Br  0.6187  0.6187  0.7004  2 W 2.68
Br  0.6660  0.4731  0.2631  1 W 2.46
Br  0.6679  0.8598  0.7031  1 W 2.46
Br  0.7146  0.7146  0.2643  2 W 2.68
Br  0.7603  0.1373  0.7630  1 W 2.43
Br  0.8036  0.4271  0.7187  1 W 2.43
Br  0.8067  0.9986  0.2164  1 W 2.46
Br  0.8598  0.6679  0.7031  1 W 2.46
Br  0.8627  0.2397  0.2370  1 W 2.43
Br  0.9072  0.5293  0.2496  1 W 2.43
Br  0.9524  0.9524  0.7800  2 W 2.68
Br  0.9986  0.8067  0.2164  1 W 2.46


16.
Compound: WBr6
Source: Alexandria
Functional: PBE
Structure: relaxed

Properties
- Formation energy from raw total energies: -444 meV/atom
- Calculated volume: 35.64 Å³/atom

Unit cell a=6.8471 b=6.8471 c=6.1449 alpha=90.00 beta=90.00 gamma=120.00
Closest atoms and distances in Å follow each position.
Sites, in units of the cell vectors:
W  0.0000  0.0000  0.0000  6 Br 2.48
Br  0.0000  0.2954  0.7672  1 W 2.48
Br  0.0000  0.7046  0.2328  1 W 2.48
Br  0.2954  0.0000  0.7672  1 W 2.48
Br  0.2954  0.2954  0.2328  1 W 2.48
Br  0.7046  0.0000  0.2328  1 W 2.48
Br  0.7046  0.7046  0.7672  1 W 2.48


17.
Compound: W2Br3
Source: Alexandria
Functional: PBE
Structure: relaxed

Properties
- Formation energy from raw total energies: 702 meV/atom
- Calculated volume: 20.71 Å³/atom

Unit cell a=11.9453 b=11.9453 c=11.9453 alpha=15.31 beta=15.31 gamma=15.31
Closest atoms and distances in Å follow each position.
Sites, in units of the cell vectors:
W  0.1053  0.1053  0.1053  6 Br 2.59-2.85
W  0.8947  0.8947  0.8947  6 Br 2.59-2.85
Br  0.2796  0.2796  0.2796  3 W 2.59
Br  0.5000  0.5000  0.5000  6 W 2.85, 6 Br 3.18
Br  0.7204  0.7204  0.7204  3 W 2.59


18.
Compound: W2Br
Source: Alexandria
Functional: PBE
Structure: relaxed

Properties
- Formation energy from raw total energies: 1576 meV/atom
- Calculated volume: 18.36 Å³/atom

Unit cell a=4.6908 b=4.6908 c=2.8899 alpha=90.00 beta=90.00 gamma=120.00
Closest atoms and distances in Å follow each position.
Sites, in units of the cell vectors:
W  0.3333  0.6667  0.0000  5 W 2.71-2.89
W  0.6667  0.3333  0.0000  5 W 2.71-2.89
Br  0.0000  0.0000  0.5000  2 Br 2.89, 12 W 3.07


19.
Compound: WBr6
Source: Alexandria
Functional: PBE
Structure: relaxed

Properties
- Formation energy from raw total energies: -443 meV/atom
- Calculated volume: 35.61 Å³/atom

Unit cell a=7.3132 b=7.3132 c=7.3132 alpha=55.75 beta=55.75 gamma=55.75
Closest atoms and distances in Å follow each position.
Sites, in units of the cell vectors:
W  0.0000  0.0000  0.0000  6 Br 2.48
Br  0.0812  0.7794  0.3714  1 W 2.48
Br  0.2206  0.6286  0.9188  1 W 2.48
Br  0.3714  0.0812  0.7794  1 W 2.48
Br  0.6286  0.9188  0.2206  1 W 2.48
Br  0.7794  0.3714  0.0812  1 W 2.48
Br  0.9188  0.2206  0.6286  1 W 2.48


20.
Compound: W7Br
Source: Alexandria
Functional: PBE
Structure: relaxed

Properties
- Formation energy from raw total energies: 967 meV/atom
- Calculated volume: 16.71 Å³/atom

Unit cell a=5.7397 b=5.7397 c=5.7397 alpha=60.00 beta=60.00 gamma=60.00
Closest atoms and distances in Å follow each position.
Sites, in units of the cell vectors:
W  0.0000  0.0000  0.0000  12 W 2.87
W  0.0000  0.0000  0.5000  10 W 2.87, 2 Br 2.87
W  0.0000  0.5000  0.0000  10 W 2.87, 2 Br 2.87
W  0.0000  0.5000  0.5000  10 W 2.87, 2 Br 2.87
W  0.5000  0.0000  0.0000  10 W 2.87, 2 Br 2.87
W  0.5000  0.0000  0.5000  10 W 2.87, 2 Br 2.87
W  0.5000  0.5000  0.0000  10 W 2.87, 2 Br 2.87
Br  0.5000  0.5000  0.5000  12 W 2.87